# GGA-PBE Li2TcHg2O6, optimized geometry
data_Li2TcHg2O6
_chemical_formula_sum 'Li4 Tc2 Hg4 O12'
_space_group_name_H-M_alt 'C 1 2/m 1'
_space_group_IT_number 12
_space_group_name_Hall '-C 2y'
_cell_length_a 5.438
_cell_length_b 8.897
_cell_length_c 5.919
_cell_angle_alpha 90.00
_cell_angle_beta 106.06
_cell_angle_gamma 90.00
loop_
_atom_site_label
_atom_site_type_symbol
_atom_site_fract_x
_atom_site_fract_y
_atom_site_fract_z
Li1 Li 0.000 0.162 0.000
Tc1 Tc 0.000 0.500 0.000
Hg1 Hg 0.000 0.188 0.500
O1 O 0.109 0.348 0.825
O2 O 0.145 0.000 0.788
# Calculated total energy in eV for the cell shown: -112.225